one) A relaxed LaSc4 crystal. Source: Alexandria via LeMat-Bulk, functional PBE-GGA.

Lattice parameters (Å, degrees): 5.215 5.215 5.215 90.00 90.00 90.00
Space group Pm-3m (No. 221)
Symmetry-distinct sites (fractional):
1 La 0.000 0.000 0.000 (multiplicity 1)
2 Sc 0.000 0.000 0.500 (multiplicity 3)
3 Sc 0.500 0.500 0.500 (multiplicity 1)

crystal system	cubic
size of the total moment	0.00	Bohr magnetons per cell

***

two) A relaxed LaSc4 crystal. Source: Alexandria via LeMat-Bulk, functional PBE-GGA.

Lattice parameters (Å, degrees): 7.463 7.463 4.786 90.00 90.00 90.00
Space group I4/m (No. 87)
Symmetry-distinct sites (fractional):
1 La 0.000 0.000 0.000 (multiplicity 2)
2 Sc 0.097 0.697 0.500 (multiplicity 8)

crystal system	tetragonal
size of the total moment	0.00	Bohr magnetons per cell

***

Which is the most stable structure? two) is the most stable.

***

one) A relaxed La3Sc5 crystal. Source: Alexandria via LeMat-Bulk, functional PBE-GGA.

Lattice parameters (Å, degrees): 9.1175 9.1175 6.3582 90.00 90.00 120.00
Space group P6_3/mcm (No. 193)
Symmetry-distinct sites (fractional):
1 La 0.0000 0.3974 0.2500 (multiplicity 6)
2 Sc 0.0000 0.2248 0.7500 (multiplicity 6)
3 Sc 0.3333 0.6667 0.0000 (multiplicity 4)

crystal system	hexagonal
size of the total moment	0.00	Bohr magnetons per cell

***

two) A relaxed La3Sc5 crystal. Source: Alexandria via LeMat-Bulk, functional PBE-GGA.

Lattice parameters (Å, degrees): 9.047 10.089 5.020 90.00 90.00 90.00
Space group Cmmm (No. 65)
Symmetry-distinct sites (fractional):
1 La 0.000 0.000 0.000 (multiplicity 2)
2 La 0.000 0.259 0.500 (multiplicity 4)
3 Sc 0.000 0.500 0.000 (multiplicity 2)
4 Sc 0.247 0.500 0.500 (multiplicity 4)
5 Sc 0.250 0.250 0.000 (multiplicity 4)

crystal system	orthorhombic
size of the total moment	0.00	Bohr magnetons per cell

***

Which is the most stable structure? two) is the most stable.

***

one) A relaxed La6Sc crystal. Source: Alexandria via LeMat-Bulk, functional PBE-GGA.

Lattice parameters (Å, degrees): 8.169 8.169 8.169 90.00 90.00 90.00
Space group Im-3m (No. 229)
Symmetry-distinct sites (fractional):
1 La 0.000 0.250 0.500 (multiplicity 12)
2 Sc 0.000 0.000 0.000 (multiplicity 2)

crystal system	cubic
size of the total moment	0.12	Bohr magnetons per cell

***

two) A relaxed La6Sc crystal. Source: Alexandria via LeMat-Bulk, functional PBE-GGA.

Lattice parameters (Å, degrees): 6.576 6.576 11.644 90.00 90.00 90.00
Space group P4/nbm (No. 125, origin choice 2)
Symmetry-distinct sites (fractional):
1 La 0.081 0.581 0.140 (multiplicity 8)
2 La 0.250 0.250 0.367 (multiplicity 4)
3 Sc 0.250 0.750 0.500 (multiplicity 2)

crystal system	tetragonal
size of the total moment	0.00	Bohr magnetons per cell

***

Which is the most stable structure? two) is the most stable.

***

one) A relaxed LaScSe2 crystal. Source: Alexandria via LeMat-Bulk, functional PBE-GGA.

Lattice parameters (Å, degrees): 4.147 4.147 5.852 90.00 90.00 90.00
Space group P4/mmm (No. 123)
Symmetry-distinct sites (fractional):
1 La 0.000 0.000 0.000 (multiplicity 1)
2 Sc 0.500 0.500 0.500 (multiplicity 1)
3 Se 0.000 0.000 0.500 (multiplicity 1)
4 Se 0.500 0.500 0.000 (multiplicity 1)

crystal system	tetragonal
size of the total moment	0.00	Bohr magnetons per cell

***

two) A relaxed LaScSe2 crystal. Source: Alexandria via LeMat-Bulk, functional PBE-GGA.

Lattice parameters (Å, degrees): 6.988 4.048 7.238 90.00 108.92 90.00
Space group C2/m (No. 12)
Symmetry-distinct sites (fractional):
1 La 0.000 0.000 0.000 (multiplicity 2)
2 Sc 0.000 0.500 0.500 (multiplicity 2)
3 Se 0.239 0.000 0.716 (multiplicity 4)

crystal system	monoclinic
size of the total moment	0.00	Bohr magnetons per cell

***

Which is the most stable structure? two) is the most stable.

***

one) A relaxed LaSc3Se crystal. Source: Alexandria via LeMat-Bulk, functional PBE-GGA.

Lattice parameters (Å, degrees): 5.240 5.240 5.240 90.00 90.00 90.00
Space group Pm-3m (No. 221)
Symmetry-distinct sites (fractional):
1 La 0.000 0.000 0.000 (multiplicity 1)
2 Sc 0.000 0.000 0.500 (multiplicity 3)
3 Se 0.500 0.500 0.500 (multiplicity 1)

crystal system	cubic
size of the total moment	0.00	Bohr magnetons per cell

***

two) A relaxed LaSc3Se crystal. Source: Alexandria via LeMat-Bulk, functional PBE-GGA.

Lattice parameters (Å, degrees): 5.163 5.163 5.163 90.00 90.00 90.00
Space group Pm-3m (No. 221)
Symmetry-distinct sites (fractional):
1 La 0.000 0.000 0.000 (multiplicity 1)
2 Sc 0.000 0.500 0.500 (multiplicity 3)
3 Se 0.500 0.500 0.500 (multiplicity 1)

crystal system	cubic
size of the total moment	0.00	Bohr magnetons per cell

***

Which is the most stable structure? two) is the most stable.

***

one) A relaxed LaScSe3 crystal. Source: Alexandria via LeMat-Bulk, functional PBE-GGA.

Lattice parameters (Å, degrees): 5.119 5.119 5.119 90.00 90.00 90.00
Space group Pm-3m (No. 221)
Symmetry-distinct sites (fractional):
1 La 0.000 0.000 0.000 (multiplicity 1)
2 Sc 0.500 0.500 0.500 (multiplicity 1)
3 Se 0.000 0.500 0.500 (multiplicity 3)

crystal system	cubic
size of the total moment	0.00	Bohr magnetons per cell

***

two) A relaxed LaScSe3 crystal. Source: Alexandria via LeMat-Bulk, functional PBE-GGA.

Lattice parameters (Å, degrees): 8.536 4.043 14.587 90.00 90.00 90.00
Space group Pnma (No. 62)
Symmetry-distinct sites (fractional):
1 La 0.125 0.250 0.190 (multiplicity 4)
2 Sc 0.174 0.750 0.455 (multiplicity 4)
3 Se 0.005 0.750 0.613 (multiplicity 4)
4 Se 0.161 0.750 0.035 (multiplicity 4)
5 Se 0.164 0.250 0.795 (multiplicity 4)

crystal system	orthorhombic
size of the total moment	0.00	Bohr magnetons per cell

***

Which is the most stable structure? two) is the most stable.

***

one) A relaxed LaScSe3 crystal. Source: Alexandria via LeMat-Bulk, functional PBE-GGA.

Lattice parameters (Å, degrees): 9.055 6.624 9.818 90.00 114.19 90.00
Space group P2_1/c (No. 14)
Symmetry-distinct sites (fractional):
1 La 0.160 0.249 0.163 (multiplicity 4)
2 Sc 0.408 0.747 0.389 (multiplicity 4)
3 Se 0.094 0.709 0.686 (multiplicity 4)
4 Se 0.302 0.083 0.967 (multiplicity 4)
5 Se 0.443 0.574 0.149 (multiplicity 4)

crystal system	monoclinic
size of the total moment	0.00	Bohr magnetons per cell

***

two) A relaxed LaScSe3 crystal. Source: Alexandria via LeMat-Bulk, functional PBE-GGA.

Lattice parameters (Å, degrees): 5.637 5.637 5.637 90.00 90.00 90.00
Space group Pm-3m (No. 221)
Symmetry-distinct sites (fractional):
1 La 0.000 0.000 0.000 (multiplicity 1)
2 Sc 0.500 0.500 0.500 (multiplicity 1)
3 Se 0.000 0.000 0.500 (multiplicity 3)

crystal system	cubic
size of the total moment	0.07	Bohr magnetons per cell

***

Which is the most stable structure? one) is the most stable.

***

one) A relaxed La2ScSe4 crystal. Source: Alexandria via LeMat-Bulk, functional PBE-GGA.

Lattice parameters (Å, degrees): 7.255 6.978 8.269 90.00 106.64 90.00
Space group P2_1/m (No. 11)
Symmetry-distinct sites (fractional):
1 La 0.214 0.250 0.056 (multiplicity 2)
2 La 0.227 0.250 0.554 (multiplicity 2)
3 Sc 0.262 0.750 0.815 (multiplicity 2)
4 Se 0.006 0.507 0.254 (multiplicity 4)
5 Se 0.458 0.750 0.610 (multiplicity 2)
6 Se 0.464 0.750 0.120 (multiplicity 2)

crystal system	monoclinic
size of the total moment	0.00	Bohr magnetons per cell

***

two) A relaxed La2ScSe4 crystal. Source: Alexandria via LeMat-Bulk, functional PBE-GGA.

Lattice parameters (Å, degrees): 5.050 5.050 15.244 90.00 90.00 90.00
Space group I4/mmm (No. 139)
Symmetry-distinct sites (fractional):
1 La 0.000 0.000 0.132 (multiplicity 4)
2 Sc 0.000 0.000 0.500 (multiplicity 2)
3 Se 0.000 0.000 0.321 (multiplicity 4)
4 Se 0.000 0.500 0.000 (multiplicity 4)

crystal system	tetragonal
size of the total moment	0.02	Bohr magnetons per cell

***

Which is the most stable structure? one) is the most stable.